# Ni3OsC

An optimized crystal structure of Ni3OsC (PBE, Alexandria via LeMat-Bulk).

Structure (POSCAR):
```
Ni3OsC
1.0
4.4651 0.0000 0.0000
0.0000 4.4651 0.0000
0.0000 0.0000 4.4651
Ni Os C
3 1 1
Cartesian
0.0000 0.0000 2.2325 Ni
0.0000 2.2325 0.0000 Ni
2.2325 0.0000 0.0000 Ni
0.0000 0.0000 0.0000 Os
2.2325 2.2325 2.2325 C
```

Values from the calculation:
Crystal system   cubic
Calculated total energy   -0.361 Ry per atom
Energy above the lowest structure with this stoichiometry   2.0818 eV/atom
Space-group type   No. 221
V   17.804 Å³ per atom